Computed, not measured: a relaxed structure of Tb3Ga2Cu9 at the GGA-PBE level of DFT.

calculated volume = 228.9 Å³/cell
electronic total energy = -4.33 eV per atom
energy relative to the elements = -273 meV/atom

a = 4.2288 Å, b = 7.8861 Å, c = 7.8861 Å
α = 66.79°, β = 74.45°, γ = 74.45°
Element x y z (fractional)
Cu  0.1322  0.5822  0.1533
Cu  0.6644  0.9791  0.6921
Cu  0.1322  0.1533  0.5822
Cu  0.8678  0.8467  0.4178
Ga  0.5000  0.6909  0.3091
Cu  0.8678  0.4178  0.8467
Tb  0.2934  0.7066  0.7066
Tb  0.0000  0.0000  0.0000
Ga  0.5000  0.3091  0.6909
Cu  0.3356  0.3079  0.0209
Cu  0.0000  0.5000  0.5000
Cu  0.3356  0.0209  0.3079
Tb  0.7066  0.2934  0.2934
Cu  0.6644  0.6921  0.9791

=====

Computed, not measured: a relaxed structure of Tb2GaCu at the GGA-PBE level of DFT.

calculated volume = 185.0 Å³/cell
electronic total energy = -4.50 eV per atom
energy relative to the elements = -405 meV/atom

a = 4.3155 Å, b = 5.9019 Å, c = 7.7324 Å
α = 110.09°, β = 90.00°, γ = 90.00°
Element x y z (fractional)
Tb  0.7500  0.2184  0.4157
Tb  0.7500  0.2092  0.9365
Tb  0.2500  0.7816  0.5843
Cu  0.2500  0.3729  0.2131
Tb  0.2500  0.7908  0.0635
Cu  0.7500  0.6271  0.7869
Ga  0.7500  0.6627  0.2885
Ga  0.2500  0.3373  0.7115

=====

Computed, not measured: a relaxed structure of TbGa3Cu2 at the GGA-PBE level of DFT.

calculated volume = 308.2 Å³/cell
electronic total energy = -4.05 eV per atom
energy relative to the elements = -397 meV/atom

a = 4.0889 Å, b = 8.3076 Å, c = 9.6740 Å
α = 104.14°, β = 90.00°, γ = 104.25°
Element x y z (fractional)
Ga  0.3666  0.7331  0.8102
Ga  0.7820  0.5639  0.6366
Ga  0.0489  0.0979  0.3555
Ga  0.9511  0.9021  0.6445
Ga  0.5000  0.0000  0.5000
Cu  0.3531  0.7062  0.5459
Cu  0.2040  0.4080  0.0876
Cu  0.5126  0.0252  0.7656
Tb  0.8442  0.6884  0.2939
Cu  0.7960  0.5920  0.9124
Cu  0.4874  0.9748  0.2344
Ga  0.6482  0.2965  0.9387
Ga  0.3518  0.7035  0.0613
Tb  0.0000  0.0000  0.0000
Tb  0.1558  0.3116  0.7061
Cu  0.6469  0.2938  0.4541
Ga  0.2180  0.4361  0.3634
Ga  0.6334  0.2669  0.1898

=====

Computed, not measured: a relaxed structure of Tb4Ga2Cu at the GGA-PBE level of DFT.

calculated volume = 180.1 Å³/cell
electronic total energy = -4.35 eV per atom
energy relative to the elements = -251 meV/atom

a = 3.7669 Å, b = 6.0523 Å, c = 8.7797 Å
α = 112.36°, β = 102.39°, γ = 90.00°
Element x y z (fractional)
Ga  0.7384  0.8270  0.4767
Tb  0.0937  0.7291  0.1874
Cu  0.0000  0.0000  0.0000
Tb  0.3598  0.7217  0.7195
Tb  0.6402  0.2783  0.2805
Ga  0.2616  0.1730  0.5233
Tb  0.9063  0.2709  0.8126

=====

Computed, not measured: a relaxed structure of Tb2Ga5Cu5 at the GGA-PBE level of DFT.

calculated volume = 198.4 Å³/cell
electronic total energy = -4.07 eV per atom
energy relative to the elements = -326 meV/atom

a = 4.0404 Å, b = 5.2474 Å, c = 9.3555 Å
α = 90.00°, β = 90.00°, γ = 90.00°
Element x y z (fractional)
Ga  0.0000  0.5000  0.6672
Cu  0.5000  0.2534  0.7489
Cu  0.5000  0.2534  0.2511
Ga  0.5000  0.0000  0.0000
Ga  0.0000  0.5000  0.3328
Tb  0.0000  0.0000  0.5000
Ga  0.0000  0.0000  0.8146
Tb  0.0000  0.5000  0.0000
Cu  0.5000  0.7466  0.7489
Ga  0.0000  0.0000  0.1854
Cu  0.5000  0.7466  0.2511
Cu  0.5000  0.5000  0.5000

=====

Computed, not measured: a relaxed structure of Tb3Ga6Cu5 at the GGA-PBE level of DFT.

calculated volume = 483.9 Å³/cell
electronic total energy = -4.19 eV per atom
energy relative to the elements = -438 meV/atom

a = 4.2639 Å, b = 8.9865 Å, c = 12.6294 Å
α = 90.00°, β = 90.00°, γ = 90.00°
Element x y z (fractional)
Ga  0.5000  0.3921  0.1635
Ga  0.5000  0.0268  0.3533
Ga  0.5000  0.5715  0.0000
Cu  0.5000  0.1166  0.8446
Cu  0.0000  0.5319  0.1322
Cu  0.0000  0.5319  0.8678
Cu  0.5000  0.1166  0.1554
Cu  0.0000  0.8834  0.3446
Ga  0.0000  0.6079  0.3365
Ga  0.0000  0.4285  0.5000
Ga  0.0000  0.9732  0.1467
Ga  0.5000  0.3921  0.8365
Cu  0.5000  0.4681  0.6322
Ga  0.0000  0.6079  0.6635
Ga  0.0000  0.9732  0.8533
Cu  0.5000  0.4681  0.3678
Ga  0.5000  0.9441  0.0000
Tb  0.5000  0.7452  0.5000
Tb  0.0000  0.2507  0.2954
Ga  0.0000  0.0559  0.5000
Cu  0.0000  0.7576  0.0000
Ga  0.5000  0.0268  0.6467
Cu  0.5000  0.2424  0.5000
Tb  0.0000  0.2507  0.7046
Tb  0.5000  0.7493  0.7954
Cu  0.0000  0.8834  0.6554
Tb  0.0000  0.2548  0.0000
Tb  0.5000  0.7493  0.2046

=====

Computed, not measured: a relaxed structure of TbGa7Cu5 at the GGA-PBE level of DFT.

calculated volume = 199.3 Å³/cell
electronic total energy = -3.83 eV per atom
energy relative to the elements = -264 meV/atom

a = 5.2197 Å, b = 6.7018 Å, c = 6.7018 Å
α = 82.90°, β = 67.26°, γ = 67.26°
Element x y z (fractional)
Ga  0.5089  0.7953  0.1882
Ga  0.9911  0.6641  0.3526
Ga  0.2674  0.2300  0.2300
Cu  0.0044  0.4966  0.9999
Cu  0.4998  0.9996  0.4964
Cu  0.7332  0.7686  0.7686
Ga  0.5089  0.1882  0.7953
Cu  0.0044  0.9999  0.4966
Ga  0.9911  0.3526  0.6641
Ga  0.6462  0.3530  0.3530
Cu  0.4998  0.4964  0.9996
Ga  0.3458  0.6542  0.6542
Tb  0.9991  0.0013  0.0013

=====

Computed, not measured: a relaxed structure of Tb3Ga4Cu2 at the GGA-PBE level of DFT.

calculated volume = 179.4 Å³/cell
electronic total energy = -4.38 eV per atom
energy relative to the elements = -576 meV/atom

a = 4.3934 Å, b = 5.6808 Å, c = 8.3750 Å
α = 109.75°, β = 90.00°, γ = 112.75°
Element x y z (fractional)
Ga  0.2684  0.5368  0.9247
Tb  0.0000  0.0000  0.0000
Tb  0.6721  0.3443  0.6537
Cu  0.4023  0.8047  0.7308
Ga  0.7316  0.4632  0.0753
Tb  0.3279  0.6557  0.3463
Cu  0.5977  0.1953  0.2692
Ga  0.0352  0.0704  0.3662
Ga  0.9648  0.9296  0.6338

=====

Computed, not measured: a relaxed structure of TbGa2Cu8 at the GGA-PBE level of DFT.

calculated volume = 184.1 Å³/cell
electronic total energy = -3.78 eV per atom
energy relative to the elements = 167 meV/atom

a = 6.2096 Å, b = 6.2096 Å, c = 4.7754 Å
α = 90.00°, β = 90.00°, γ = 90.00°
Element x y z (fractional)
Tb  0.5000  0.5000  0.5000
Cu  0.8028  0.8028  0.7485
Cu  0.1972  0.1972  0.7485
Cu  0.8028  0.8028  0.2515
Cu  0.8028  0.1972  0.7485
Cu  0.1972  0.1972  0.2515
Cu  0.1972  0.8028  0.2515
Cu  0.1972  0.8028  0.7485
Ga  0.0000  0.5000  0.0000
Cu  0.8028  0.1972  0.2515
Ga  0.5000  0.0000  0.0000

=====

Computed, not measured: a relaxed structure of Tb2Ga6Cu3 at the GGA-PBE level of DFT.

calculated volume = 199.1 Å³/cell
electronic total energy = -4.01 eV per atom
energy relative to the elements = -403 meV/atom

a = 4.0263 Å, b = 7.5569 Å, c = 7.5569 Å
α = 120.00°, β = 90.00°, γ = 90.00°
Element x y z (fractional)
Cu  0.5000  0.0000  0.6334
Cu  0.5000  0.3666  0.3666
Tb  0.0000  0.6667  0.3333
Tb  0.0000  0.3333  0.6667
Ga  0.0000  0.1951  0.1951
Ga  0.0000  0.8049  0.0000
Ga  0.5000  0.0000  0.3142
Ga  0.5000  0.3142  0.0000
Ga  0.0000  0.0000  0.8049
Ga  0.5000  0.6858  0.6858
Cu  0.5000  0.6334  0.0000